(1)
Material: Pa2MnGa
Method: DFT, PBE-GGA
State: optimized geometry

Unit cell a=4.5047 b=4.5047 c=5.3576 alpha=65.14 beta=65.14 gamma=60.00
Atoms (fractional coordinates):
Mn 0.5000 0.5000 0.5000
Pa 0.7596 0.7596 0.7211
Pa 0.2404 0.2404 0.2789
Ga 0.0000 0.0000 0.0000

Calculated values
Space-group type = No. 166
M_tot = 0.0 μB/f.u.
E above lowest polymorph = 24.41 kJ per mole of atoms
Total DFT energy (no corrections) = -30.86 eV for the cell shown
DFT formation energy = 0.082 eV per atom
D(E_F) = 5.7 states/eV/f.u.

=====

(2)
Material: Tb8Dy4Sc
Method: DFT, PBE-GGA
State: optimized geometry

Unit cell a=10.8967 b=10.8968 c=7.6949 alpha=90.00 beta=135.08 gamma=120.00
Atoms (fractional coordinates):
Dy 0.5000 0.0000 0.0000
Dy 0.0000 0.5000 0.0000
Dy 0.0000 0.0000 0.0000
Dy 0.5000 0.5000 0.0000
Sc 0.0000 0.5000 0.5000
Tb 0.5140 0.7570 0.2711
Tb 0.0016 0.7571 0.7587
Tb 0.5142 0.7571 0.7587
Tb 0.4858 0.2429 0.2413
Tb 0.4860 0.2430 0.7289
Tb 0.9984 0.2429 0.2413
Tb 0.0016 0.2445 0.7587
Tb 0.9984 0.7555 0.2413

Calculated values
Space-group type = No. 166
M_tot = 0.0 μB/f.u.
Total DFT energy (no corrections) = -55.23 eV for the cell shown
DFT formation energy = 0.504 eV per atom
D(E_F) = 18.0 states/eV/f.u.

=====

(3)
Material: SrSc2Hg
Method: DFT, PBE-GGA
State: optimized geometry

Unit cell a=4.2520 b=5.0346 c=5.0845 alpha=90.00 beta=90.00 gamma=90.00
Each line ends with the local moment (μB).
Atoms (fractional coordinates):
Sr 0.5000 0.0000 0.5000  0.01
Hg 0.0000 0.5000 0.5000  0.00
Sc 0.5000 0.5000 0.0000  0.24
Sc 0.0000 0.0000 0.0000  0.29

Calculated values
Space-group type = No. 47
M_tot = 0.8 μB/f.u.
E above lowest polymorph = 15.49 kJ per mole of atoms
Total DFT energy (no corrections) = -14.47 eV for the cell shown
DFT formation energy = 0.045 eV per atom
D(E_F) = 4.1 states/eV/f.u.

=====

(4)
Material: AlIn2Te
Method: DFT, PBE-GGA
State: optimized geometry

Unit cell a=4.7453 b=4.7452 c=4.8788 alpha=90.00 beta=90.00 gamma=90.00
Atoms (fractional coordinates):
Al 0.0000 0.5000 0.5000
Te 0.5000 0.0000 0.5000
In 0.0000 0.0000 0.0000
In 0.5000 0.5000 0.0000

Calculated values
Space-group type = No. 123
M_tot = 0.0 μB/f.u.
E above lowest polymorph = 12.48 kJ per mole of atoms
Total DFT energy (no corrections) = -12.01 eV for the cell shown
Raw formation energy = 0.09 eV/atom
D(E_F) = 1.8 states/eV/f.u.